# 1
First-principles (GGA-PBE) data for a relaxed Dy3HoAs4 crystal, as listed in OQMD.

Cell lengths 8.215, 11.617, 4.109 Å; angles 90.00, 90.00, 90.00 degrees
Space group Cmmm (No. 65)
Asymmetric unit:
Dy1 0.000 0.000 0.000 [2 per cell]
Dy2 0.250 0.250 0.500 [4 per cell]
Ho1 0.000 0.500 0.000 [2 per cell]
As1 0.000 0.250 0.000 [4 per cell]
As2 0.249 0.500 0.500 [4 per cell]

Density (g cm⁻³): 8.1

# 2
First-principles (GGA-PBE) data for a relaxed DyHo2Sc3As2Os crystal, as listed in OQMD.

Cell lengths 4.089, 13.033, 7.524 Å; angles 90.00, 90.00, 90.00 degrees
Space group Amm2 (No. 38)
Asymmetric unit:
Dy1 0.000 0.000 0.000 [2 per cell]
Ho1 0.000 0.203 0.390 [4 per cell]
Sc1 0.500 0.000 0.355 [2 per cell]
Sc2 0.500 0.118 0.711 [4 per cell]
As1 0.500 0.167 0.093 [4 per cell]
Os1 0.000 0.000 0.591 [2 per cell]

Density (g cm⁻³): 8.0

| no. | energy (eV/f.u.) |
| --- | --- |
| 1 | -49.26 |
| 2 | -60.96 |